Record 1
DFT (PBE) results for LiZn2Ga6 after structural relaxation. Values from VASP.

Geometry as Quantum ESPRESSO input:
```
&SYSTEM
  ibrav = 0, nat = 18, ntyp = 3
/
ATOMIC_SPECIES
Li 6.94 Li.upf
Zn 65.41 Zn.upf
Ga 69.72 Ga.upf
CELL_PARAMETERS angstrom
5.264 -5.413 0.000
5.264 5.413 0.000
-3.232 0.000 5.577
ATOMIC_POSITIONS angstrom
Li 2.840 3.392 4.183
Li 4.456 -3.392 1.394
Zn 1.508 1.309 2.857
Zn 3.124 -1.309 0.068
Zn 4.172 1.309 5.509
Zn 5.788 -1.309 2.720
Ga 2.845 3.023 1.373
Ga 1.244 0.525 0.237
Ga -0.372 -0.525 3.025
Ga 1.315 1.121 5.539
Ga 6.067 3.023 1.415
Ga 4.365 1.121 2.826
Ga 2.931 -1.121 2.751
Ga 1.229 -3.023 4.162
Ga 5.981 -1.121 0.038
Ga 7.668 0.525 2.551
Ga 6.052 -0.525 5.340
Ga 4.451 -3.023 4.204
```

Summary:
- Volume: 318 Å³ per cell
- Energy of formation: -4.31 kJ/mol of atoms
- Density of states at the Fermi level: 2.45 states/eV/f.u.
- Energy above the most stable polymorph in this dataset: 0.0 kJ/mol of atoms



Record 2
DFT (PBE) results for LiZnGa5 after structural relaxation. Values from VASP.

Geometry as Quantum ESPRESSO input:
```
&SYSTEM
  ibrav = 0, nat = 7, ntyp = 3
/
ATOMIC_SPECIES
Li 6.94 Li.upf
Zn 65.41 Zn.upf
Ga 69.72 Ga.upf
CELL_PARAMETERS angstrom
4.553 0.000 0.000
0.000 4.553 0.000
0.000 0.000 6.128
ATOMIC_POSITIONS angstrom
Li 0.000 0.000 0.000
Zn 0.000 0.000 3.064
Ga 0.000 2.277 1.656
Ga 0.000 2.277 4.472
Ga 2.277 0.000 1.656
Ga 2.277 0.000 4.472
Ga 2.277 2.277 0.000
```

Summary:
- Volume: 127 Å³ per cell
- Energy of formation: -7.77 kJ/mol of atoms
- Density of states at the Fermi level: 2.44 states/eV/f.u.



Record 3
DFT (PBE) results for LiZn3Ga4 after structural relaxation. Values from VASP.

Geometry as Quantum ESPRESSO input:
```
&SYSTEM
  ibrav = 0, nat = 8, ntyp = 3
/
ATOMIC_SPECIES
Li 6.94 Li.upf
Zn 65.41 Zn.upf
Ga 69.72 Ga.upf
CELL_PARAMETERS angstrom
8.162 -2.014 0.000
8.162 2.014 0.000
-0.382 0.000 4.058
ATOMIC_POSITIONS angstrom
Li 0.000 0.000 0.000
Zn 5.951 0.000 3.795
Zn 7.971 0.000 2.029
Zn 9.991 0.000 0.263
Ga 1.664 0.000 2.336
Ga 3.931 0.000 0.969
Ga 12.010 0.000 3.089
Ga 14.277 0.000 1.723
```

Summary:
- Volume: 133 Å³ per cell
- Energy of formation: -5.62 kJ/mol of atoms
- Density of states at the Fermi level: 2.09 states/eV/f.u.



Record 4
DFT (PBE) results for Li5Zn2Ga4 after structural relaxation. Values from VASP.

Geometry as Quantum ESPRESSO input:
```
&SYSTEM
  ibrav = 0, nat = 11, ntyp = 3
/
ATOMIC_SPECIES
Li 6.94 Li.upf
Zn 65.41 Zn.upf
Ga 69.72 Ga.upf
CELL_PARAMETERS angstrom
9.338 -1.564 0.000
9.338 1.564 0.000
-1.042 0.000 6.425
ATOMIC_POSITIONS angstrom
Li 0.000 0.000 0.000
Li 5.387 0.000 3.326
Li 5.903 0.000 6.216
Li 11.732 0.000 0.210
Li 12.249 0.000 3.099
Zn 3.341 0.000 5.375
Zn 14.294 0.000 1.050
Ga 0.899 0.000 4.356
Ga 7.896 0.000 4.291
Ga 9.739 0.000 2.134
Ga 16.736 0.000 2.069
```

Summary:
- Volume: 188 Å³ per cell
- Energy of formation: -15.70 kJ/mol of atoms
- Density of states at the Fermi level: 3.92 states/eV/f.u.
- Energy above the most stable polymorph in this dataset: 2.6 kJ/mol of atoms



Record 5
DFT (PBE) results for LiZn4Ga after structural relaxation. Values from VASP.

Geometry as Quantum ESPRESSO input:
```
&SYSTEM
  ibrav = 0, nat = 6, ntyp = 3
/
ATOMIC_SPECIES
Li 6.94 Li.upf
Zn 65.41 Zn.upf
Ga 69.72 Ga.upf
CELL_PARAMETERS angstrom
0.000 3.646 3.646
3.646 0.000 3.646
3.646 3.646 0.000
ATOMIC_POSITIONS angstrom
Li 0.000 0.000 0.000
Zn 2.730 2.730 2.730
Zn 4.563 4.563 2.730
Zn 4.563 2.730 4.563
Zn 2.730 4.563 4.563
Ga 5.470 5.470 5.470
```

Summary:
- Volume: 97 Å³ per cell
- Energy of formation: -4.95 kJ/mol of atoms
- Density of states at the Fermi level: 1.22 states/eV/f.u.
- Energy above the most stable polymorph in this dataset: 6.2 kJ/mol of atoms



Record 6
DFT (PBE) results for Li2Zn3Ga2 after structural relaxation. Values from VASP.

Geometry as Quantum ESPRESSO input:
```
&SYSTEM
  ibrav = 0, nat = 7, ntyp = 3
/
ATOMIC_SPECIES
Li 6.94 Li.upf
Zn 65.41 Zn.upf
Ga 69.72 Ga.upf
CELL_PARAMETERS angstrom
4.707 0.000 0.000
-1.013 4.677 0.000
-1.008 -0.998 4.994
ATOMIC_POSITIONS angstrom
Li -0.121 0.410 1.443
Li 2.808 3.269 3.550
Zn -0.286 1.165 4.276
Zn 2.354 0.000 0.000
Zn 2.973 2.514 0.718
Ga 0.539 2.929 2.086
Ga 2.147 0.750 2.907
```

Summary:
- Volume: 110 Å³ per cell
- Energy of formation: -13.40 kJ/mol of atoms
- Density of states at the Fermi level: 1.76 states/eV/f.u.
- Energy above the most stable polymorph in this dataset: 1.8 kJ/mol of atoms



Record 7
DFT (PBE) results for Li3Zn2Ga7 after structural relaxation. Values from VASP.

Geometry as Quantum ESPRESSO input:
```
&SYSTEM
  ibrav = 0, nat = 12, ntyp = 3
/
ATOMIC_SPECIES
Li 6.94 Li.upf
Zn 65.41 Zn.upf
Ga 69.72 Ga.upf
CELL_PARAMETERS angstrom
4.186 0.000 0.000
0.000 3.754 0.000
-1.595 0.000 13.885
ATOMIC_POSITIONS angstrom
Li 0.000 0.000 0.000
Li 0.238 1.877 8.920
Li 2.353 1.877 4.964
Zn 0.274 0.000 3.824
Zn 2.317 0.000 10.060
Ga 0.160 1.877 2.023
Ga 0.248 0.000 6.274
Ga 0.306 0.000 11.758
Ga 2.093 1.877 0.000
Ga 2.285 0.000 2.127
Ga 2.343 0.000 7.611
Ga 2.432 1.877 11.862
```

Summary:
- Volume: 218 Å³ per cell
- Energy of formation: -10.39 kJ/mol of atoms
- Density of states at the Fermi level: 3.39 states/eV/f.u.



Record 8
DFT (PBE) results for LiZn5Ga after structural relaxation. Values from VASP.

Geometry as Quantum ESPRESSO input:
```
&SYSTEM
  ibrav = 0, nat = 14, ntyp = 3
/
ATOMIC_SPECIES
Li 6.94 Li.upf
Zn 65.41 Zn.upf
Ga 69.72 Ga.upf
CELL_PARAMETERS angstrom
4.212 -3.396 0.000
4.212 3.396 0.000
-3.619 0.000 8.266
ATOMIC_POSITIONS angstrom
Li 1.498 3.045 6.199
Li 3.307 -3.045 2.066
Zn -0.260 0.910 6.154
Zn 1.434 0.972 4.130
Zn 3.307 1.040 2.066
Zn 1.549 -0.910 2.021
Zn 5.180 0.972 0.003
Zn -0.375 -0.972 8.263
Zn 3.256 0.910 6.245
Zn 1.498 -1.040 6.199
Zn 3.371 -0.972 4.136
Zn 5.065 -0.910 2.112
Ga 2.106 1.698 0.000
Ga 0.296 -1.698 4.133
```

Summary:
- Volume: 236 Å³ per cell
- Energy of formation: 1.30 kJ/mol of atoms
- Density of states at the Fermi level: 1.88 states/eV/f.u.